# Na3Mn3OsO8

A relaxed Na3Mn3OsO8 crystal (GGA+U, the Alexandria database).

abc: 11.2349 5.9969 6.5045
angles: 90.00 122.83 90.00
Closest atoms and distances in Å follow each position.
Space group C2/m (No. 12)
Inequivalent atoms, fractional coordinates:
Na: 0.0000 0.0000 0.0000 x2  6 O 2.45-2.46
Na: 0.2500 0.2500 0.0000 x4  6 O 2.40-2.44
Mn: 0.0000 0.5000 0.5000 x2  4 O 1.99
Mn: 0.2500 0.2500 0.5000 x4  4 O 2.00-2.09
Os: 0.0000 0.0000 0.5000 x2  6 O 2.01-2.02
O: 0.0039 0.2528 0.3000 x8  1 Mn 1.99, 1 Os 2.01
O: 0.2135 0.0000 0.6836 x4  1 Os 2.02, 2 Mn 2.09
O: 0.2434 0.5000 0.6979 x4  2 Mn 2.00

Raw total energy ... -6.650 eV per atom